## CeThPtSe (PBE)

Data for a relaxed CeThPtSe crystal.

a = 4.0160 Å, b = 4.0159 Å, c = 7.9886 Å
α = 90.00°, β = 104.56°, γ = 120.00°
With the nearest neighbours (Å) after each atom.
Positions (direct):
Se 0.1357 0.9658 0.1167  3 Ce 3.02, 3 Th 3.04
Pt 0.4736 0.1347 0.6236  3 Th 2.94, 3 Ce 3.02
Ce 0.9714 0.3837 0.3703  3 Pt 3.02, 3 Se 3.02
Th 0.2972 0.5465 0.8591  3 Pt 2.94, 3 Se 3.04

Values from the calculation:
* formation energy without anion corrections: -1.2747 eV/atom